Entry 1:
Entry from Alexandria: a relaxed structure of SrCuSiAu6 (GGA-PBE).

Cell: 8.724 8.724 8.724 Å, 131.37 118.28 82.25°
Sites, in units of the cell vectors:
1 Sr 0.398 0.148 0.250
2 Sr 0.602 0.852 0.750
3 Cu 0.000 0.000 0.500
4 Cu 0.000 0.500 0.000
5 Si 0.000 0.500 0.500
6 Si 0.500 0.500 0.000
7 Au 0.128 0.432 0.271
8 Au 0.128 0.857 0.696
9 Au 0.137 0.887 0.250
10 Au 0.332 0.582 0.750
11 Au 0.339 0.143 0.771
12 Au 0.339 0.568 0.196
13 Au 0.661 0.432 0.804
14 Au 0.661 0.857 0.229
15 Au 0.668 0.418 0.250
16 Au 0.863 0.113 0.750
17 Au 0.872 0.143 0.304
18 Au 0.872 0.568 0.729

## Properties
SG	Imma
total moment	0.00	μB/cell
formation energy without anion corrections	-0.082	eV per atom


Entry 2:
Entry from Alexandria: a relaxed structure of Tl5In4Hg2 (GGA-PBE).

Cell: 9.782 9.782 10.125 Å, 96.49 96.49 19.70°
Sites, in units of the cell vectors:
1 Tl 0.000 0.000 0.000
2 Tl 0.180 0.180 0.923
3 Tl 0.369 0.369 0.791
4 Tl 0.631 0.631 0.209
5 Tl 0.820 0.820 0.077
6 In 0.080 0.080 0.460
7 In 0.448 0.448 0.269
8 In 0.552 0.552 0.731
9 In 0.920 0.920 0.540
10 Hg 0.221 0.221 0.624
11 Hg 0.779 0.779 0.376

## Properties
SG	C2/m
distance to the lowest polymorph of the same formula	0.00	eV/f.u.
total moment	0.00	μB/cell
formation energy	0.0113	eV per atom


Entry 3:
Entry from Alexandria: a relaxed structure of ErInCuAu (GGA-PBE).

Cell: 6.807 6.807 6.807 Å, 90.00 90.00 90.00°
Sites, in units of the cell vectors:
1 Er 0.000 0.000 0.000
2 Er 0.000 0.500 0.500
3 Er 0.500 0.000 0.500
4 Er 0.500 0.500 0.000
5 In 0.000 0.000 0.500
6 In 0.000 0.500 0.000
7 In 0.500 0.000 0.000
8 In 0.500 0.500 0.500
9 Cu 0.250 0.250 0.750
10 Cu 0.250 0.750 0.250
11 Cu 0.750 0.250 0.250
12 Cu 0.750 0.750 0.750
13 Au 0.250 0.250 0.250
14 Au 0.250 0.750 0.750
15 Au 0.750 0.250 0.750
16 Au 0.750 0.750 0.250

## Properties
SG	F-43m
total moment	0.00	μB/cell
formation energy	-0.5063	eV per atom


Entry 4:
Entry from Alexandria: a relaxed structure of Sc5CoAg4 (GGA-PBE).

Cell: 3.333 3.333 17.324 Å, 90.00 90.00 90.00°
Sites, in units of the cell vectors:
1 Sc 0.000 0.000 0.000
2 Sc 0.000 0.000 0.206
3 Sc 0.000 0.000 0.414
4 Sc 0.000 0.000 0.586
5 Sc 0.000 0.000 0.794
6 Co 0.500 0.500 0.500
7 Ag 0.500 0.500 0.102
8 Ag 0.500 0.500 0.309
9 Ag 0.500 0.500 0.691
10 Ag 0.500 0.500 0.898

## Properties
SG	P4/mmm
total moment	0.58	μB/cell
formation energy	-0.2794	eV per atom


Question: Number 2 is which compound?
Answer: Tl5In4Hg2


Question: Which value of total moment does entry 2 give?
Answer: 0.00 μB/cell


Copy entry 3 word for word.
Entry from Alexandria: a relaxed structure of ErInCuAu (GGA-PBE).

Cell: 6.807 6.807 6.807 Å, 90.00 90.00 90.00°
Sites, in units of the cell vectors:
1 Er 0.000 0.000 0.000
2 Er 0.000 0.500 0.500
3 Er 0.500 0.000 0.500
4 Er 0.500 0.500 0.000
5 In 0.000 0.000 0.500
6 In 0.000 0.500 0.000
7 In 0.500 0.000 0.000
8 In 0.500 0.500 0.500
9 Cu 0.250 0.250 0.750
10 Cu 0.250 0.750 0.250
11 Cu 0.750 0.250 0.250
12 Cu 0.750 0.750 0.750
13 Au 0.250 0.250 0.250
14 Au 0.250 0.750 0.750
15 Au 0.750 0.250 0.750
16 Au 0.750 0.750 0.250

## Properties
SG	F-43m
total moment	0.00	μB/cell
formation energy	-0.5063	eV per atom